(1)
Crystalline PmHoHg6 at its relaxed geometry, computed with PBE.

Its formation energy from the elements is -8.2 kcal/mol of atoms. The value obtained for the energy relative to the lowest polymorph listed for this composition is 0 meV per atom. The total DFT energy (no corrections) comes out at -13.99 eV/f.u. The value obtained for the volume is 24.49 Å³ per atom.

Unit cell a=5.031 b=6.744 c=11.549 alpha=90.00 beta=90.00 gamma=90.00
Space group Amm2 (No. 38)
Inequivalent atoms, fractional coordinates:
Pm  0.000  0.000  0.000
Ho  0.500  0.000  0.676
Hg  0.000  0.000  0.508
Hg  0.000  0.247  0.253
Hg  0.500  0.000  0.172
Hg  0.500  0.241  0.421



(2)
Crystalline ErTmZnRu at its relaxed geometry, computed with PBE.

Its formation energy from the elements is -9.3 kcal/mol of atoms. The value obtained for the energy relative to the lowest polymorph listed for this composition is 51 meV per atom. The total DFT energy (no corrections) comes out at -21.20 eV/f.u. The value obtained for the volume is 20.27 Å³ per atom.

Unit cell a=6.870 b=6.870 c=6.870 alpha=90.00 beta=90.00 gamma=90.00
Space group F-43m (No. 216)
Inequivalent atoms, fractional coordinates:
Er  0.000  0.000  0.000
Tm  0.000  0.000  0.500
Zn  0.250  0.250  0.750
Ru  0.250  0.250  0.250



(3)
Crystalline Fe2BrN at its relaxed geometry, computed with PBE.

The value obtained for the energy relative to the lowest polymorph listed for this composition is 933 meV per atom. The calculation puts the uncorrected formation energy at 1.1888 eV/atom. The total DFT energy (no corrections) comes out at -22.17 eV/f.u. The value obtained for the volume is 11.84 Å³ per atom.

Unit cell a=5.743 b=5.743 c=5.743 alpha=90.00 beta=90.00 gamma=90.00
Space group Fm-3m (No. 225)
Inequivalent atoms, fractional coordinates:
Fe  0.250  0.250  0.250
Br  0.000  0.000  0.000
N  0.000  0.000  0.500



(4)
Crystalline InCu2Au2 at its relaxed geometry, computed with PBE.

Its formation energy from the elements is 0.3 kcal/mol of atoms. The value obtained for the energy relative to the lowest polymorph listed for this composition is 65 meV per atom. The total DFT energy (no corrections) comes out at -17.42 eV/f.u. The value obtained for the volume is 17.99 Å³ per atom.

Unit cell a=3.625 b=3.625 c=13.692 alpha=90.00 beta=90.00 gamma=90.00
Space group I4/mmm (No. 139)
Inequivalent atoms, fractional coordinates:
In  0.000  0.000  0.000
Cu  0.000  0.500  0.250
Au  0.000  0.000  0.392



(5)
Crystalline HfNp2ScAs4 at its relaxed geometry, computed with PBE.

Its formation energy from the elements is -22.1 kcal/mol of atoms. The total DFT energy (no corrections) comes out at -68.43 eV/f.u. The value obtained for the volume is 22.23 Å³ per atom.

Unit cell a=6.888 b=3.973 c=6.889 alpha=90.00 beta=109.41 gamma=90.00
Space group P2/m (No. 10)
Inequivalent atoms, fractional coordinates:
Hf  0.000  0.000  0.000
Np  0.500  0.000  0.500
Np  0.500  0.500  0.000
Sc  0.000  0.500  0.500
As  0.234  0.000  0.746
As  0.234  0.500  0.243



(6)
Crystalline Na2Cu3S3 at its relaxed geometry, computed with PBE.

The calculation puts the uncorrected formation energy at -0.5580 eV/atom. The total DFT energy (no corrections) comes out at -31.77 eV/f.u. The value obtained for the volume is 20.50 Å³ per atom.

Unit cell a=6.6457 b=6.6457 c=8.5753 alpha=90.00 beta=90.00 gamma=120.00
Space group P6_3/mcm (No. 193)
Inequivalent atoms, fractional coordinates:
Na  0.3333  0.6667  0.0000
Cu  0.0000  0.3225  0.2500
S  0.0000  0.3421  0.7500



(7)
Crystalline MgSc2CdH at its relaxed geometry, computed with PBE.

The value obtained for the energy relative to the lowest polymorph listed for this composition is 0 meV per atom. The total DFT energy (no corrections) comes out at -19.73 eV/f.u. The value obtained for the volume is 17.77 Å³ per atom.

Unit cell a=4.438 b=4.438 c=4.511 alpha=90.00 beta=90.00 gamma=90.00
Space group P4/mmm (No. 123)
Inequivalent atoms, fractional coordinates:
Mg  0.000  0.000  0.000
Sc  0.000  0.500  0.500
Cd  0.500  0.500  0.000
H  0.000  0.000  0.500



(8)
Crystalline Ca2LaSe at its relaxed geometry, computed with PBE.

The calculation puts the uncorrected formation energy at -0.2768 eV/atom. The total DFT energy (no corrections) comes out at -13.52 eV/f.u. The value obtained for the volume is 31.09 Å³ per atom.

Unit cell a=7.923 b=7.923 c=7.923 alpha=90.00 beta=90.00 gamma=90.00
Space group F-43m (No. 216)
Inequivalent atoms, fractional coordinates:
Ca  0.000  0.000  0.000
Ca  0.250  0.250  0.250
La  0.250  0.250  0.750
Se  0.000  0.000  0.500



(9)
Crystalline Li2CeNp3S6 at its relaxed geometry, computed with PBE.

The calculation puts the uncorrected formation energy at -1.4800 eV/atom. The total DFT energy (no corrections) comes out at -91.11 eV/f.u. The value obtained for the volume is 21.37 Å³ per atom.

Unit cell a=17.073 b=3.943 c=7.809 alpha=90.00 beta=102.72 gamma=90.00
Space group C2/m (No. 12)
Inequivalent atoms, fractional coordinates:
Li  0.174  0.000  0.348
Ce  0.000  0.500  0.000
Np  0.000  0.500  0.500
Np  0.168  0.000  0.828
S  0.001  0.000  0.258
S  0.167  0.500  0.581
S  0.169  0.500  0.084



(10)
Crystalline NbAsW2 at its relaxed geometry, computed with PBE.

Its formation energy from the elements is 13.5 kcal/mol of atoms. The total DFT energy (no corrections) comes out at -38.29 eV/f.u. The value obtained for the volume is 17.77 Å³ per atom.

Unit cell a=3.848 b=3.848 c=19.202 alpha=90.00 beta=90.00 gamma=90.00
Space group I-42d (No. 122)
Inequivalent atoms, fractional coordinates:
Nb  0.000  0.000  0.000
As  0.000  0.000  0.500
W  0.221  0.250  0.625



(11)
Crystalline SrLi2Ca2 at its relaxed geometry, computed with PBE.

Its formation energy from the elements is 0.5 kcal/mol of atoms. The value obtained for the energy relative to the lowest polymorph listed for this composition is 0 meV per atom. The total DFT energy (no corrections) comes out at -9.39 eV/f.u. The value obtained for the volume is 36.17 Å³ per atom.

Unit cell a=9.292 b=9.292 c=4.189 alpha=90.00 beta=90.00 gamma=90.00
Space group P4/mbm (No. 127)
Inequivalent atoms, fractional coordinates:
Sr  0.000  0.000  0.000
Li  0.128  0.372  0.000
Ca  0.161  0.661  0.500



(12)
Crystalline SrOsRu2 at its relaxed geometry, computed with PBE.

Its formation energy from the elements is 12.5 kcal/mol of atoms. The value obtained for the energy relative to the lowest polymorph listed for this composition is 0 meV per atom. The total DFT energy (no corrections) comes out at -29.30 eV/f.u. The value obtained for the volume is 18.66 Å³ per atom.

Unit cell a=2.817 b=3.705 c=7.151 alpha=90.00 beta=90.00 gamma=90.00
Space group Pmmm (No. 47)
Inequivalent atoms, fractional coordinates:
Sr  0.000  0.000  0.000
Os  0.000  0.000  0.500
Ru  0.500  0.500  0.321



(13)
Crystalline CsUPd2S4 at its relaxed geometry, computed with PBE.

The calculation puts the uncorrected formation energy at -0.6522 eV/atom. The total DFT energy (no corrections) comes out at -44.25 eV/f.u. The value obtained for the volume is 27.37 Å³ per atom.

Unit cell a=5.575 b=8.143 c=9.648 alpha=90.00 beta=90.00 gamma=90.00
Space group I222 (No. 23)
Inequivalent atoms, fractional coordinates:
Cs  0.000  0.000  0.000
U  0.000  0.000  0.500
Pd  0.000  0.500  0.146
S  0.191  0.192  0.329



(14)
Crystalline Tl2PRh at its relaxed geometry, computed with PBE.

Its formation energy from the elements is 11.2 kcal/mol of atoms. The value obtained for the energy relative to the lowest polymorph listed for this composition is 644 meV per atom. The total DFT energy (no corrections) comes out at -15.55 eV/f.u. The value obtained for the volume is 20.11 Å³ per atom.

Unit cell a=4.477 b=4.477 c=8.024 alpha=90.00 beta=90.00 gamma=90.00
Space group I4/mmm (No. 139)
Inequivalent atoms, fractional coordinates:
Tl  0.000  0.500  0.250
P  0.000  0.000  0.000
Rh  0.000  0.000  0.500



(15)
Crystalline Pm2Zn6Au at its relaxed geometry, computed with PBE.

Its formation energy from the elements is -8.6 kcal/mol of atoms. The total DFT energy (no corrections) comes out at -23.77 eV/f.u. The value obtained for the volume is 19.17 Å³ per atom.

Unit cell a=5.8783 b=5.8783 c=5.7642 alpha=90.00 beta=90.00 gamma=120.00
Space group P-3m1 (No. 164)
Inequivalent atoms, fractional coordinates:
Pm  0.3333  0.6667  0.3338
Zn  0.1802  0.3603  0.8362
Au  0.0000  0.0000  0.5000



(16)
Crystalline CaTa2MnRu at its relaxed geometry, computed with PBE.

Its formation energy from the elements is 34.9 kcal/mol of atoms. The total DFT energy (no corrections) comes out at -36.59 eV/f.u. The value obtained for the volume is 23.67 Å³ per atom.

Unit cell a=4.771 b=4.771 c=5.198 alpha=90.00 beta=90.00 gamma=90.00
Space group P4/mmm (No. 123)
Inequivalent atoms, fractional coordinates:
Ca  0.000  0.000  0.000
Ta  0.000  0.500  0.500
Mn  0.500  0.500  0.000
Ru  0.000  0.000  0.500



(17)
Crystalline PaTaMo2 at its relaxed geometry, computed with PBE.

Its formation energy from the elements is -1.0 kcal/mol of atoms. The value obtained for the energy relative to the lowest polymorph listed for this composition is 0 meV per atom. The total DFT energy (no corrections) comes out at -43.18 eV/f.u. The value obtained for the volume is 18.55 Å³ per atom.

Unit cell a=6.670 b=6.670 c=6.670 alpha=90.00 beta=90.00 gamma=90.00
Space group Fm-3m (No. 225)
Inequivalent atoms, fractional coordinates:
Pa  0.000  0.000  0.000
Ta  0.000  0.000  0.500
Mo  0.250  0.250  0.250



(18)
Crystalline NbPtF3 at its relaxed geometry, computed with PBE.

The value obtained for the energy relative to the lowest polymorph listed for this composition is 0 meV per atom. The calculation puts the uncorrected formation energy at -1.0862 eV/atom. The total DFT energy (no corrections) comes out at -27.16 eV/f.u. The value obtained for the volume is 14.59 Å³ per atom.

Unit cell a=4.178 b=4.178 c=4.178 alpha=90.00 beta=90.00 gamma=90.00
Space group Pm-3m (No. 221)
Inequivalent atoms, fractional coordinates:
Nb  0.000  0.000  0.000
Pt  0.500  0.500  0.500
F  0.000  0.000  0.500



(19)
Crystalline HfHgPt3 at its relaxed geometry, computed with PBE.

Its formation energy from the elements is 14.3 kcal/mol of atoms. The value obtained for the energy relative to the lowest polymorph listed for this composition is 0 meV per atom. The total DFT energy (no corrections) comes out at -25.28 eV/f.u. The value obtained for the volume is 24.44 Å³ per atom.

Unit cell a=4.963 b=4.963 c=4.963 alpha=90.00 beta=90.00 gamma=90.00
Space group Pm-3m (No. 221)
Inequivalent atoms, fractional coordinates:
Hf  0.000  0.000  0.000
Hg  0.500  0.500  0.500
Pt  0.000  0.000  0.500



(20)
Crystalline KCr2Rh at its relaxed geometry, computed with PBE.

Its formation energy from the elements is 24.3 kcal/mol of atoms. The value obtained for the energy relative to the lowest polymorph listed for this composition is 499 meV per atom. The total DFT energy (no corrections) comes out at -23.48 eV/f.u. The value obtained for the volume is 18.27 Å³ per atom.

Unit cell a=3.087 b=4.860 c=4.871 alpha=90.00 beta=90.00 gamma=90.00
Space group Pmmm (No. 47)
Inequivalent atoms, fractional coordinates:
K  0.000  0.000  0.000
Cr  0.000  0.500  0.500
Cr  0.500  0.000  0.500
Rh  0.500  0.500  0.000